# GdSi2NiPd

Crystalline GdSi2NiPd at its relaxed geometry (GGA-PBE, OQMD via LeMat-Bulk).

Unit cell a=4.081 b=4.081 c=9.803 alpha=90.00 beta=90.00 gamma=90.00
Space group I-4m2 (No. 119)
Symmetry-distinct sites (fractional):
Gd1 0.000 0.000 0.000 (multiplicity 2)
Si1 0.000 0.000 0.379 (multiplicity 4)
Ni1 0.000 0.500 0.250 (multiplicity 2)
Pd1 0.000 0.500 0.750 (multiplicity 2)

## Properties
* raw total energy: -6.13 eV/atom

# Li4SiSnPd2

Crystalline Li4SiSnPd2 at its relaxed geometry (GGA-PBE, OQMD via LeMat-Bulk).

Unit cell a=4.285 b=4.285 c=6.238 alpha=90.00 beta=90.00 gamma=90.00
Space group P-4m2 (No. 115)
Symmetry-distinct sites (fractional):
Li1 0.000 0.000 0.000 (multiplicity 1)
Li2 0.000 0.500 0.227 (multiplicity 2)
Li3 0.500 0.500 0.500 (multiplicity 1)
Si1 0.500 0.500 0.000 (multiplicity 1)
Sn1 0.000 0.000 0.500 (multiplicity 1)
Pd1 0.000 0.500 0.780 (multiplicity 2)

## Properties
* raw total energy: -3.99 eV/atom